Ca2InHg | PBE | relaxed

Output
Crystal system   monoclinic
Final energy   -2.184 eV per atom
Formation energy   -0.423 eV per atom

Lattice parameters (Å, degrees): 6.157 6.157 5.473 107.45 107.45 35.85
Positions (direct):
Ca: 0.000 0.000 0.000
Ca: 0.210 0.210 0.650
In: 0.755 0.755 0.181
Hg: 0.467 0.467 0.490